meta-GGA SCAN Bi2AuNO, single point on PBEsol structure; calculated volume = 86.11 Å³ per cell; M_tot = 0.1 μB per formula unit; total energy = -238.6 eV for the cell shown; symmetry = P4/mmm, No. 123
1.0
-2.634 -0.931 2.348
2.162 -4.289 0.725
2.575 1.914 3.647
Au Bi O N
1 2 1 1
Cartesian
1.051 -1.653 3.360
1.287 0.957 1.824
1.081 -2.145 0.362
-1.317 -0.466 1.174
0.000 0.000 0.000